(1)
! GGA-PBE CeSm2Ho6, optimized geometry; values from VASP
! SG = R3m, No. 160
! total DFT energy (no corrections) = -4.46 eV per atom
! ΔE_f = 0.302 eV per atom
! M_tot = 0.00 μB per formula unit
&SYSTEM
  ibrav = 0, nat = 9, ntyp = 3
/
ATOMIC_SPECIES
Ce 140.12 Ce.upf
Sm 150.36 Sm.upf
Ho 164.93 Ho.upf
CELL_PARAMETERS angstrom
3.6476 2.1059 6.2879
-3.6476 2.1059 6.2879
0.0000 -4.2118 6.2879
ATOMIC_POSITIONS crystal
Ce 0.0000 0.0000 0.0000
Sm 0.2611 0.2611 0.2611
Sm 0.4380 0.4380 0.4380
Ho 0.2899 0.7365 0.7365
Ho 0.4612 0.9412 0.9412
Ho 0.7365 0.2899 0.7365
Ho 0.7365 0.7365 0.2899
Ho 0.9412 0.4612 0.9412
Ho 0.9412 0.9412 0.4612

---

(2)
! GGA-PBE ScBe2Te, optimized geometry; values from VASP
! SG = I-42d, No. 122
! total DFT energy (no corrections) = -4.01 eV per atom
! M_tot = 0.00 μB per formula unit
&SYSTEM
  ibrav = 0, nat = 8, ntyp = 3
/
ATOMIC_SPECIES
Sc 44.96 Sc.upf
Be 9.01 Be.upf
Te 127.60 Te.upf
CELL_PARAMETERS angstrom
-3.6296 3.6296 2.7661
3.6296 -3.6296 2.7661
3.6296 3.6296 -2.7661
ATOMIC_POSITIONS crystal
Sc 0.0000 0.0000 0.0000
Sc 0.7500 0.2500 0.5000
Be 0.1585 0.6250 0.0335
Be 0.3750 0.4085 0.5335
Be 0.5915 0.1250 0.9665
Be 0.8750 0.8415 0.4665
Te 0.2500 0.7500 0.5000
Te 0.5000 0.5000 0.0000